[1]
Below is a PBEsol-optimized structure of Cs2NaLiF6, with properties calculated at the SCAN level.

- Uncorrected formation energy: -2.300 eV per atom
- Total magnetic moment: 2.00 Bohr magnetons per cell
- Symmetry: Fm-3m

Structure (CIF):
```
data_Cs2NaLiF6
_chemical_formula_sum 'Cs2 Na1 Li1 F6'
_space_group_name_H-M_alt 'P 1'
_space_group_IT_number 1
_cell_length_a 6.0536
_cell_length_b 6.0536
_cell_length_c 6.0536
_cell_angle_alpha 60.00
_cell_angle_beta 60.00
_cell_angle_gamma 60.00
loop_
_space_group_symop_operation_xyz
'x,y,z'
loop_
_atom_site_label
_atom_site_type_symbol
_atom_site_fract_x
_atom_site_fract_y
_atom_site_fract_z
Cs1 Cs 0.2500 0.2500 0.2500
Cs2 Cs 0.7500 0.7500 0.7500
Na1 Na 0.0000 0.0000 0.0000
Li1 Li 0.5000 0.5000 0.5000
F1 F 0.2657 0.2657 0.7343
F2 F 0.2657 0.7343 0.2657
F3 F 0.2657 0.7343 0.7343
F4 F 0.7343 0.2657 0.2657
F5 F 0.7343 0.2657 0.7343
F6 F 0.7343 0.7343 0.2657
```

---

[2]
Below is a PBEsol-optimized structure of Li2Ni3P9O28, with properties calculated at the SCAN level.

- Uncorrected formation energy: -2.153 eV per atom
- Total magnetic moment: 3.00 Bohr magnetons per cell
- Symmetry: P-1

Structure (CIF):
```
data_Li2Ni3P9O28
_chemical_formula_sum 'Li2 Ni3 P9 O28'
_space_group_name_H-M_alt 'P 1'
_space_group_IT_number 1
_cell_length_a 6.9479
_cell_length_b 8.7054
_cell_length_c 8.8982
_cell_angle_alpha 110.85
_cell_angle_beta 109.76
_cell_angle_gamma 98.67
loop_
_space_group_symop_operation_xyz
'x,y,z'
loop_
_atom_site_label
_atom_site_type_symbol
_atom_site_fract_x
_atom_site_fract_y
_atom_site_fract_z
Li1 Li 0.2070 0.4263 0.2404
Li2 Li 0.7930 0.5737 0.7596
Ni1 Ni 0.0000 0.0000 0.0000
Ni2 Ni 0.2609 0.5138 0.7586
Ni3 Ni 0.7391 0.4862 0.2414
P1 P 0.1798 0.2015 0.4229
P2 P 0.1993 0.7379 0.5500
P3 P 0.2851 0.2594 0.9355
P4 P 0.3428 0.8236 0.0975
P5 P 0.5000 0.0000 0.5000
P6 P 0.6572 0.1764 0.9025
P7 P 0.7149 0.7406 0.0645
P8 P 0.8007 0.2621 0.4500
P9 P 0.8202 0.7985 0.5771
O1 O 0.0447 0.8563 0.5695
O2 O 0.0692 0.1495 0.9052
O3 O 0.0868 0.5813 0.3720
O4 O 0.1434 0.1962 0.2424
O5 O 0.2177 0.6344 0.9680
O6 O 0.2414 0.3151 0.7870
O7 O 0.2634 0.9612 0.0520
O8 O 0.2709 0.7081 0.7150
O9 O 0.2768 0.0652 0.4666
O10 O 0.3011 0.3914 0.5536
O11 O 0.3752 0.8393 0.2867
O12 O 0.4018 0.8615 0.5679
O13 O 0.4075 0.4017 0.1240
O14 O 0.4228 0.1301 0.8956
O15 O 0.5772 0.8699 0.1044
O16 O 0.5925 0.5983 0.8760
O17 O 0.5982 0.1385 0.4321
O18 O 0.6248 0.1607 0.7133
O19 O 0.6989 0.6086 0.4464
O20 O 0.7232 0.9348 0.5334
O21 O 0.7291 0.2919 0.2850
O22 O 0.7366 0.0388 0.9480
O23 O 0.7586 0.6849 0.2130
O24 O 0.7823 0.3656 0.0320
O25 O 0.8566 0.8038 0.7576
O26 O 0.9132 0.4187 0.6280
O27 O 0.9308 0.8505 0.0948
O28 O 0.9553 0.1437 0.4305
```

---

[3]
Below is a PBEsol-optimized structure of BaSc2Rh, with properties calculated at the SCAN level.

- Total magnetic moment: 0.00 Bohr magnetons per cell
- Symmetry: Cmmm
- ΔH_f (0 K): 0.270 eV/atom

Structure (CIF):
```
data_BaSc2Rh
_chemical_formula_sum 'Ba1 Sc2 Rh1'
_space_group_name_H-M_alt 'P 1'
_space_group_IT_number 1
_cell_length_a 4.8682
_cell_length_b 4.8682
_cell_length_c 3.7403
_cell_angle_alpha 90.00
_cell_angle_beta 90.00
_cell_angle_gamma 94.14
loop_
_space_group_symop_operation_xyz
'x,y,z'
loop_
_atom_site_label
_atom_site_type_symbol
_atom_site_fract_x
_atom_site_fract_y
_atom_site_fract_z
Ba1 Ba 0.0000 0.0000 0.0000
Sc1 Sc 0.0000 0.5000 0.5000
Sc2 Sc 0.5000 0.0000 0.5000
Rh1 Rh 0.5000 0.5000 0.0000
```

---

[4]
Below is a PBEsol-optimized structure of Pr3HfSb5, with properties calculated at the SCAN level.

- Uncorrected formation energy: -1.037 eV per atom
- Total magnetic moment: 0.00 Bohr magnetons per cell
- Symmetry: P6_3/mcm

Structure (CIF):
```
data_Pr3HfSb5
_chemical_formula_sum 'Pr6 Hf2 Sb10'
_space_group_name_H-M_alt 'P 1'
_space_group_IT_number 1
_cell_length_a 9.4321
_cell_length_b 9.4321
_cell_length_c 6.2479
_cell_angle_alpha 90.00
_cell_angle_beta 90.00
_cell_angle_gamma 120.00
loop_
_space_group_symop_operation_xyz
'x,y,z'
loop_
_atom_site_label
_atom_site_type_symbol
_atom_site_fract_x
_atom_site_fract_y
_atom_site_fract_z
Pr1 Pr 0.0000 0.3819 0.2500
Pr2 Pr 0.0000 0.6181 0.7500
Pr3 Pr 0.3819 0.0000 0.2500
Pr4 Pr 0.3819 0.3819 0.7500
Pr5 Pr 0.6181 0.0000 0.7500
Pr6 Pr 0.6181 0.6181 0.2500
Hf1 Hf 0.0000 0.0000 0.0000
Hf2 Hf 0.0000 0.0000 0.5000
Sb1 Sb 0.0000 0.2621 0.7500
Sb2 Sb 0.0000 0.7379 0.2500
Sb3 Sb 0.2621 0.0000 0.7500
Sb4 Sb 0.2621 0.2621 0.2500
Sb5 Sb 0.3333 0.6667 0.0000
Sb6 Sb 0.3333 0.6667 0.5000
Sb7 Sb 0.6667 0.3333 0.0000
Sb8 Sb 0.6667 0.3333 0.5000
Sb9 Sb 0.7379 0.0000 0.2500
Sb10 Sb 0.7379 0.7379 0.7500
```

---

[5]
Below is a PBEsol-optimized structure of BeZn2Hg, with properties calculated at the SCAN level.

- Total magnetic moment: 0.00 Bohr magnetons per cell
- Symmetry: F-43m
- ΔH_f (0 K): 0.316 eV/atom

Structure (CIF):
```
data_BeZn2Hg
_chemical_formula_sum 'Be1 Zn2 Hg1'
_space_group_name_H-M_alt 'P 1'
_space_group_IT_number 1
_cell_length_a 4.3654
_cell_length_b 4.3654
_cell_length_c 4.3654
_cell_angle_alpha 60.00
_cell_angle_beta 60.00
_cell_angle_gamma 60.00
loop_
_space_group_symop_operation_xyz
'x,y,z'
loop_
_atom_site_label
_atom_site_type_symbol
_atom_site_fract_x
_atom_site_fract_y
_atom_site_fract_z
Be1 Be 0.0000 0.0000 0.0000
Zn1 Zn 0.5000 0.5000 0.5000
Zn2 Zn 0.7500 0.7500 0.7500
Hg1 Hg 0.2500 0.2500 0.2500
```

---

[6]
Below is a PBEsol-optimized structure of K2ScP, with properties calculated at the SCAN level.

- Total magnetic moment: 0.58 Bohr magnetons per cell
- Symmetry: Cm
- ΔH_f (0 K): -0.457 eV/atom

Structure (CIF):
```
data_K2ScP
_chemical_formula_sum 'K2 Sc1 P1'
_space_group_name_H-M_alt 'P 1'
_space_group_IT_number 1
_cell_length_a 4.1170
_cell_length_b 4.1170
_cell_length_c 10.9258
_cell_angle_alpha 100.65
_cell_angle_beta 100.65
_cell_angle_gamma 60.03
loop_
_space_group_symop_operation_xyz
'x,y,z'
loop_
_atom_site_label
_atom_site_type_symbol
_atom_site_fract_x
_atom_site_fract_y
_atom_site_fract_z
K1 K 0.0000 0.0000 0.0000
K2 K 0.1985 0.1985 0.6080
Sc1 Sc 0.4283 0.4283 0.2907
P1 P 0.7348 0.7348 0.2083
```

---

[7]
Below is a PBEsol-optimized structure of Dy2CdCu2, with properties calculated at the SCAN level.

- Total magnetic moment: 0.00 Bohr magnetons per cell
- Symmetry: P4/mbm
- ΔH_f (0 K): -0.367 eV/atom

Structure (CIF):
```
data_Dy2CdCu2
_chemical_formula_sum 'Dy4 Cd2 Cu4'
_space_group_name_H-M_alt 'P 1'
_space_group_IT_number 1
_cell_length_a 7.4409
_cell_length_b 7.4409
_cell_length_c 3.5994
_cell_angle_alpha 90.00
_cell_angle_beta 90.00
_cell_angle_gamma 90.00
loop_
_space_group_symop_operation_xyz
'x,y,z'
loop_
_atom_site_label
_atom_site_type_symbol
_atom_site_fract_x
_atom_site_fract_y
_atom_site_fract_z
Dy1 Dy 0.1741 0.3259 0.0000
Dy2 Dy 0.3259 0.8259 0.0000
Dy3 Dy 0.6741 0.1741 0.0000
Dy4 Dy 0.8259 0.6741 0.0000
Cd1 Cd 0.0000 0.0000 0.5000
Cd2 Cd 0.5000 0.5000 0.5000
Cu1 Cu 0.1200 0.6200 0.5000
Cu2 Cu 0.3800 0.1200 0.5000
Cu3 Cu 0.6200 0.8800 0.5000
Cu4 Cu 0.8800 0.3800 0.5000
```

---

[8]
Below is a PBEsol-optimized structure of Ca2TaCd, with properties calculated at the SCAN level.

- Total magnetic moment: 0.00 Bohr magnetons per cell
- Symmetry: C2/m
- ΔH_f (0 K): 0.599 eV/atom

Structure (CIF):
```
data_Ca2TaCd
_chemical_formula_sum 'Ca2 Ta1 Cd1'
_space_group_name_H-M_alt 'P 1'
_space_group_IT_number 1
_cell_length_a 5.6149
_cell_length_b 5.6149
_cell_length_c 5.8028
_cell_angle_alpha 99.09
_cell_angle_beta 99.09
_cell_angle_gamma 32.09
loop_
_space_group_symop_operation_xyz
'x,y,z'
loop_
_atom_site_label
_atom_site_type_symbol
_atom_site_fract_x
_atom_site_fract_y
_atom_site_fract_z
Ca1 Ca 0.2493 0.2493 0.2586
Ca2 Ca 0.7507 0.7507 0.7414
Ta1 Ta 0.0000 0.0000 0.5000
Cd1 Cd 0.5000 0.5000 0.0000
```

---

[9]
Below is a PBEsol-optimized structure of TaAs2PPt, with properties calculated at the SCAN level.

- Total magnetic moment: 0.00 Bohr magnetons per cell
- Symmetry: P4/mmm
- ΔH_f (0 K): 1.027 eV/atom

Structure (CIF):
```
data_TaAs2PPt
_chemical_formula_sum 'Ta1 As2 P1 Pt1'
_space_group_name_H-M_alt 'P 1'
_space_group_IT_number 1
_cell_length_a 4.8398
_cell_length_b 4.8398
_cell_length_c 4.9317
_cell_angle_alpha 90.00
_cell_angle_beta 90.00
_cell_angle_gamma 90.00
loop_
_space_group_symop_operation_xyz
'x,y,z'
loop_
_atom_site_label
_atom_site_type_symbol
_atom_site_fract_x
_atom_site_fract_y
_atom_site_fract_z
Ta1 Ta 0.0000 0.0000 0.0000
As1 As 0.0000 0.5000 0.0000
As2 As 0.5000 0.0000 0.0000
P1 P 0.5000 0.5000 0.5000
Pt1 Pt 0.0000 0.0000 0.5000
```

---

[10]
Below is a PBEsol-optimized structure of ReOs3Pd, with properties calculated at the SCAN level.

- Total magnetic moment: 0.10 Bohr magnetons per cell
- Symmetry: Pm-3m
- ΔH_f (0 K): 3.275 eV/atom

Structure (CIF):
```
data_ReOs3Pd
_chemical_formula_sum 'Re1 Os3 Pd1'
_space_group_name_H-M_alt 'P 1'
_space_group_IT_number 1
_cell_length_a 4.5221
_cell_length_b 4.5221
_cell_length_c 4.5221
_cell_angle_alpha 90.00
_cell_angle_beta 90.00
_cell_angle_gamma 90.00
loop_
_space_group_symop_operation_xyz
'x,y,z'
loop_
_atom_site_label
_atom_site_type_symbol
_atom_site_fract_x
_atom_site_fract_y
_atom_site_fract_z
Re1 Re 0.0000 0.0000 0.0000
Os1 Os 0.0000 0.5000 0.5000
Os2 Os 0.5000 0.0000 0.5000
Os3 Os 0.5000 0.5000 0.0000
Pd1 Pd 0.5000 0.5000 0.5000
```

---

[11]
Below is a PBEsol-optimized structure of Hg3MoP, with properties calculated at the SCAN level.

- Total magnetic moment: 5.13 Bohr magnetons per cell
- Symmetry: Pm-3m
- ΔH_f (0 K): 1.066 eV/atom

Structure (CIF):
```
data_Hg3MoP
_chemical_formula_sum 'Hg3 Mo1 P1'
_space_group_name_H-M_alt 'P 1'
_space_group_IT_number 1
_cell_length_a 4.9886
_cell_length_b 4.9886
_cell_length_c 4.9886
_cell_angle_alpha 90.00
_cell_angle_beta 90.00
_cell_angle_gamma 90.00
loop_
_space_group_symop_operation_xyz
'x,y,z'
loop_
_atom_site_label
_atom_site_type_symbol
_atom_site_fract_x
_atom_site_fract_y
_atom_site_fract_z
Hg1 Hg 0.0000 0.0000 0.5000
Hg2 Hg 0.0000 0.5000 0.0000
Hg3 Hg 0.5000 0.0000 0.0000
Mo1 Mo 0.5000 0.5000 0.5000
P1 P 0.0000 0.0000 0.0000
```

---

[12]
Below is a PBEsol-optimized structure of Na2CuGeB, with properties calculated at the SCAN level.

- Total magnetic moment: 0.00 Bohr magnetons per cell
- Symmetry: P4/mmm
- ΔH_f (0 K): 1.000 eV/atom

Structure (CIF):
```
data_Na2CuGeB
_chemical_formula_sum 'Na2 Cu1 Ge1 B1'
_space_group_name_H-M_alt 'P 1'
_space_group_IT_number 1
_cell_length_a 5.1029
_cell_length_b 5.1029
_cell_length_c 4.3663
_cell_angle_alpha 90.00
_cell_angle_beta 90.00
_cell_angle_gamma 90.00
loop_
_space_group_symop_operation_xyz
'x,y,z'
loop_
_atom_site_label
_atom_site_type_symbol
_atom_site_fract_x
_atom_site_fract_y
_atom_site_fract_z
Na1 Na 0.0000 0.5000 0.0000
Na2 Na 0.5000 0.0000 0.0000
Cu1 Cu 0.0000 0.0000 0.0000
Ge1 Ge 0.0000 0.0000 0.5000
B1 B 0.5000 0.5000 0.5000
```